Below is a relaxed Nd2SmErTe6 crystal, with properties calculated at the PBE level.

## Properties
**Raw formation energy**: -1370 meV/atom

Cell lengths 7.8628, 7.8628, 21.3247 Å; angles 90.00, 90.00, 120.00 degrees
Space group R3 (No. 146, hexagonal axes)
One atom of each set of equivalent atoms:
Nd (0.0000, 0.0000, 0.0000) (multiplicity 3)
Nd (0.0000, 0.0000, 0.4990) (multiplicity 3)
Sm (0.0000, 0.0000, 0.1902) (multiplicity 3)
Er (0.0000, 0.0000, 0.6889) (multiplicity 3)
Te (0.0290, 0.3451, 0.7636) (multiplicity 9)
Te (0.0328, 0.6774, 0.2652) (multiplicity 9)